Record 1
NaSrAg after structural relaxation. Source: Alexandria via LeMat-Bulk, functional PBE.

relative energy among the computed polymorphs: 0.311 eV per formula unit
D(E_F): 1.29 states/eV per cell

Lattice parameters (Å, degrees): 5.3276 5.3276 5.3276 60.00 60.00 60.00
With the nearest neighbours (Å) after each atom.
Fractional coordinates of all 3 atoms:
Na  0.0000  0.0000  0.0000  4 Ag 3.26
Sr  0.5000  0.5000  0.5000  4 Ag 3.26
Ag  0.7500  0.7500  0.7500  4 Na 3.26, 4 Sr 3.26

---

Record 2
Na2SrAgTe after structural relaxation. Source: Alexandria via LeMat-Bulk, functional PBE.

formation energy from raw total energies: -0.31 eV per atom
D(E_F): 4.37 states/eV per cell

Lattice parameters (Å, degrees): 5.3341 5.3341 6.2322 90.00 90.00 90.00
With the nearest neighbours (Å) after each atom.
Fractional coordinates of all 5 atoms:
Na  0.0000  0.5000  0.0000  2 Ag 2.67
Na  0.5000  0.0000  0.0000  2 Ag 2.67
Sr  0.0000  0.0000  0.5000  2 Ag 3.12
Ag  0.0000  0.0000  0.0000  4 Na 2.67
Te  0.5000  0.5000  0.5000  4 Sr 3.77, 8 Na 4.10

---

Record 3
NaSrTlAg after structural relaxation. Source: Alexandria via LeMat-Bulk, functional PBE.

E: -2.1973 eV/atom
D(E_F): 4.48 states/eV per cell

Lattice parameters (Å, degrees): 5.4966 5.4966 5.4966 60.00 60.00 60.00
With the nearest neighbours (Å) after each atom.
Fractional coordinates of all 4 atoms:
Na  0.0000  0.0000  0.0000  4 Ag 3.37, 4 Tl 3.37
Sr  0.5000  0.5000  0.5000  4 Tl 3.37, 4 Ag 3.37
Tl  0.2500  0.2500  0.2500  4 Na 3.37, 4 Sr 3.37
Ag  0.7500  0.7500  0.7500  4 Na 3.37, 4 Sr 3.37

---

Record 4
NaSr4Tl2Ag after structural relaxation. Source: Alexandria via LeMat-Bulk, functional PBE.

E: -2.2324 eV/atom
D(E_F): 8.38 states/eV per cell

Lattice parameters (Å, degrees): 10.1000 10.1000 10.1000 33.37 33.37 33.37
With the nearest neighbours (Å) after each atom.
Fractional coordinates of all 8 atoms:
Na  0.0000  0.0000  0.0000  8 Sr 3.64-3.76, 6 Tl 4.02
Sr  0.1314  0.1314  0.1314  3 Ag 3.50, 4 Tl 3.55-3.69, 1 Na 3.76, 3 Sr 3.91
Sr  0.3829  0.3829  0.3829  1 Ag 3.35, 4 Tl 3.44-3.63, 3 Na 3.64
Sr  0.6171  0.6171  0.6171  1 Ag 3.35, 4 Tl 3.44-3.63, 3 Na 3.64
Sr  0.8686  0.8686  0.8686  3 Ag 3.50, 4 Tl 3.55-3.69, 1 Na 3.76, 3 Sr 3.91
Tl  0.2558  0.2558  0.2558  8 Sr 3.44-3.69
Tl  0.7442  0.7442  0.7442  8 Sr 3.44-3.69
Ag  0.5000  0.5000  0.5000  8 Sr 3.35-3.50